Run i
CrCoHPd2: optimized geometry, PBE.

a b c (Å): 3.9536 3.9536 3.7196
angles (deg): 90.00 90.00 90.00
Closest atoms and distances in Å follow each position.
Element x y z (fractional)
Cr: 0.0000 0.0000 0.0000  8 Pd 2.71, 4 Co 2.80
Co: 0.5000 0.5000 0.0000  2 H 1.86
H: 0.5000 0.5000 0.5000  2 Co 1.86, 4 Pd 1.98
Pd: 0.0000 0.5000 0.5000  2 H 1.98
Pd: 0.5000 0.0000 0.5000  2 H 1.98


Run ii
CrCoHPd2: optimized geometry, PBE.

a b c (Å): 4.7674 4.7674 2.7957
angles (deg): 90.00 90.00 90.00
Closest atoms and distances in Å follow each position.
Element x y z (fractional)
Cr: 0.0000 0.0000 0.0000  8 Pd 2.76, 2 Cr 2.80
Co: 0.5000 0.5000 0.5000  2 H 1.40
H: 0.5000 0.5000 0.0000  2 Co 1.40
Pd: 0.0000 0.5000 0.5000  2 Co 2.38
Pd: 0.5000 0.0000 0.5000  2 Co 2.38


In meV/atom, relative to the most stable structure: run i 0; run ii 747.


Run i
CrCo2HPd: optimized geometry, PBE.

a b c (Å): 3.7028 3.7028 3.8082
angles (deg): 90.00 90.00 90.00
Closest atoms and distances in Å follow each position.
Element x y z (fractional)
Cr: 0.0000 0.0000 0.0000  4 Pd 2.62, 8 Co 2.66
Co: 0.0000 0.5000 0.5000  2 H 1.85
Co: 0.5000 0.0000 0.5000  2 H 1.85
H: 0.5000 0.5000 0.5000  4 Co 1.85, 2 Pd 1.90
Pd: 0.5000 0.5000 0.0000  2 H 1.90


Run ii
CrCo2HPd: optimized geometry, PBE.

a b c (Å): 3.6795 3.6795 3.7341
angles (deg): 90.00 90.00 90.00
Closest atoms and distances in Å follow each position.
Element x y z (fractional)
Cr: 0.0000 0.0000 0.0000  2 H 1.87
Co: 0.0000 0.5000 0.5000  2 H 1.84
Co: 0.5000 0.0000 0.5000  2 H 1.84
H: 0.0000 0.0000 0.5000  4 Co 1.84, 2 Cr 1.87
Pd: 0.5000 0.5000 0.0000  4 Cr 2.60, 8 Co 2.62


In meV/atom, relative to the most stable structure: run i 17; run ii 0.


Run i
Cr2CoHPt: optimized geometry, PBE.

a b c (Å): 3.6505 3.6505 3.8713
angles (deg): 90.00 90.00 90.00
Closest atoms and distances in Å follow each position.
Element x y z (fractional)
Cr: 0.0000 0.5000 0.0000  2 H 1.83
Cr: 0.5000 0.0000 0.0000  2 H 1.83
Co: 0.0000 0.0000 0.5000  4 Pt 2.58, 8 Cr 2.66
H: 0.5000 0.5000 0.0000  4 Cr 1.83, 2 Pt 1.94
Pt: 0.5000 0.5000 0.5000  2 H 1.94


Run ii
Cr2CoHPt: optimized geometry, PBE.

a b c (Å): 3.6899 3.6899 3.7593
angles (deg): 90.00 90.00 90.00
Closest atoms and distances in Å follow each position.
Element x y z (fractional)
Cr: 0.0000 0.5000 0.0000  2 H 1.84
Cr: 0.5000 0.0000 0.0000  2 H 1.84
Co: 0.0000 0.0000 0.5000  2 H 1.88
H: 0.0000 0.0000 0.0000  4 Cr 1.84, 2 Co 1.88
Pt: 0.5000 0.5000 0.5000  4 Co 2.61, 8 Cr 2.63


In meV/atom, relative to the most stable structure: run i 125; run ii 0.


Run i
CrCoHPt2: optimized geometry, PBE.

a b c (Å): 3.9674 3.9674 3.7214
angles (deg): 90.00 90.00 90.00
Closest atoms and distances in Å follow each position.
Element x y z (fractional)
Cr: 0.0000 0.0000 0.0000  8 Pt 2.72, 4 Co 2.81
Co: 0.5000 0.5000 0.0000  2 H 1.86
H: 0.5000 0.5000 0.5000  2 Co 1.86, 4 Pt 1.98
Pt: 0.0000 0.5000 0.5000  2 H 1.98
Pt: 0.5000 0.0000 0.5000  2 H 1.98


Run ii
CrCoHPt2: optimized geometry, PBE.

a b c (Å): 3.8726 3.8726 3.9164
angles (deg): 90.00 90.00 90.00
Closest atoms and distances in Å follow each position.
Element x y z (fractional)
Cr: 0.0000 0.0000 0.0000  2 H 1.96
Co: 0.5000 0.5000 0.0000  4 Cr 2.74, 8 Pt 2.75
H: 0.0000 0.0000 0.5000  4 Pt 1.94, 2 Cr 1.96
Pt: 0.0000 0.5000 0.5000  2 H 1.94
Pt: 0.5000 0.0000 0.5000  2 H 1.94


In meV/atom, relative to the most stable structure: run i 0; run ii 75.


Run i
CrCo2ReH: optimized geometry, PBE.

a b c (Å): 3.5790 3.5790 3.8707
angles (deg): 90.00 90.00 90.00
Closest atoms and distances in Å follow each position.
Element x y z (fractional)
Cr: 0.0000 0.0000 0.0000  4 Re 2.53, 8 Co 2.64
Co: 0.0000 0.5000 0.5000  2 H 1.79
Co: 0.5000 0.0000 0.5000  2 H 1.79
Re: 0.5000 0.5000 0.0000  2 H 1.94
H: 0.5000 0.5000 0.5000  4 Co 1.79, 2 Re 1.94


Run ii
CrCo2ReH: optimized geometry, PBE.

a b c (Å): 4.4854 4.4854 3.1800
angles (deg): 90.00 90.00 90.00
Closest atoms and distances in Å follow each position.
Element x y z (fractional)
Cr: 0.0000 0.0000 0.0000  8 Co 2.75
Co: 0.0000 0.5000 0.5000  2 Re 2.24
Co: 0.5000 0.0000 0.5000  2 Re 2.24
Re: 0.5000 0.5000 0.5000  2 H 1.59
H: 0.5000 0.5000 0.0000  2 Re 1.59


In meV/atom, relative to the most stable structure: run i 0; run ii 1224.


Run i
CrCo2HRu: optimized geometry, PBE.

a b c (Å): 3.5627 3.5627 3.7859
angles (deg): 90.00 90.00 90.00
Closest atoms and distances in Å follow each position.
Element x y z (fractional)
Cr: 0.0000 0.0000 0.0000  2 H 1.89
Co: 0.0000 0.5000 0.5000  2 H 1.78
Co: 0.5000 0.0000 0.5000  2 H 1.78
H: 0.0000 0.0000 0.5000  4 Co 1.78, 2 Cr 1.89
Ru: 0.5000 0.5000 0.0000  4 Cr 2.52, 8 Co 2.60


Run ii
CrCo2HRu: optimized geometry, PBE.

a b c (Å): 3.5781 3.5781 3.7875
angles (deg): 90.00 90.00 90.00
Closest atoms and distances in Å follow each position.
Element x y z (fractional)
Cr: 0.0000 0.0000 0.0000  4 Ru 2.53, 8 Co 2.61
Co: 0.0000 0.5000 0.5000  2 H 1.79
Co: 0.5000 0.0000 0.5000  2 H 1.79
H: 0.5000 0.5000 0.5000  4 Co 1.79, 2 Ru 1.89
Ru: 0.5000 0.5000 0.0000  2 H 1.89


In meV/atom, relative to the most stable structure: run i 0; run ii 19.


Run i
Cr2CoHRu: optimized geometry, PBE.

a b c (Å): 3.6782 3.6782 3.7017
angles (deg): 90.00 90.00 90.00
Closest atoms and distances in Å follow each position.
Element x y z (fractional)
Cr: 0.0000 0.5000 0.0000  2 H 1.84
Cr: 0.5000 0.0000 0.0000  2 H 1.84
Co: 0.0000 0.0000 0.5000  4 Ru 2.60, 8 Cr 2.61
H: 0.5000 0.5000 0.0000  4 Cr 1.84, 2 Ru 1.85
Ru: 0.5000 0.5000 0.5000  2 H 1.85


Run ii
Cr2CoHRu: optimized geometry, PBE.

a b c (Å): 3.7132 3.7132 3.5849
angles (deg): 90.00 90.00 90.00
Closest atoms and distances in Å follow each position.
Element x y z (fractional)
Cr: 0.0000 0.5000 0.0000  2 H 1.86
Cr: 0.5000 0.0000 0.0000  2 H 1.86
Co: 0.0000 0.0000 0.5000  2 H 1.79
H: 0.0000 0.0000 0.0000  2 Co 1.79, 4 Cr 1.86
Ru: 0.5000 0.5000 0.5000  8 Cr 2.58, 4 Co 2.63


In meV/atom, relative to the most stable structure: run i 58; run ii 0.


Run i
Ta2CrCoH: optimized geometry, PBE.

a b c (Å): 4.2840 4.2840 3.2917
angles (deg): 90.00 90.00 90.00
Closest atoms and distances in Å follow each position.
Element x y z (fractional)
Ta: 0.0000 0.5000 0.0000  2 H 2.14
Ta: 0.5000 0.0000 0.0000  2 H 2.14
Cr: 0.0000 0.0000 0.5000  8 Ta 2.70
Co: 0.5000 0.5000 0.5000  2 H 1.65
H: 0.5000 0.5000 0.0000  2 Co 1.65


Run ii
Ta2CrCoH: optimized geometry, PBE.

a b c (Å): 4.2620 4.2620 3.3552
angles (deg): 90.00 90.00 90.00
Closest atoms and distances in Å follow each position.
Element x y z (fractional)
Ta: 0.0000 0.5000 0.0000  2 H 2.13
Ta: 0.5000 0.0000 0.0000  2 H 2.13
Cr: 0.0000 0.0000 0.5000  2 H 1.68
Co: 0.5000 0.5000 0.5000  8 Ta 2.71, 4 Cr 3.01
H: 0.0000 0.0000 0.0000  2 Cr 1.68


In meV/atom, relative to the most stable structure: run i 0; run ii 60.


Run i
CrCo2TcH: optimized geometry, PBE.

a b c (Å): 3.5613 3.5613 3.8193
angles (deg): 90.00 90.00 90.00
Closest atoms and distances in Å follow each position.
Element x y z (fractional)
Cr: 0.0000 0.0000 0.0000  2 H 1.91
Co: 0.0000 0.5000 0.5000  2 H 1.78
Co: 0.5000 0.0000 0.5000  2 H 1.78
Tc: 0.5000 0.5000 0.0000  4 Cr 2.52, 8 Co 2.61
H: 0.0000 0.0000 0.5000  4 Co 1.78, 2 Cr 1.91


Run ii
CrCo2TcH: optimized geometry, PBE.

a b c (Å): 3.5619 3.5619 3.8539
angles (deg): 90.00 90.00 90.00
Closest atoms and distances in Å follow each position.
Element x y z (fractional)
Cr: 0.0000 0.0000 0.0000  4 Tc 2.52, 8 Co 2.62
Co: 0.0000 0.5000 0.5000  2 H 1.78
Co: 0.5000 0.0000 0.5000  2 H 1.78
Tc: 0.5000 0.5000 0.0000  2 H 1.93
H: 0.5000 0.5000 0.5000  4 Co 1.78, 2 Tc 1.93


In meV/atom, relative to the most stable structure: run i 0; run ii 22.


Run i
CrCoTc2H: optimized geometry, PBE.

a b c (Å): 3.8313 3.8313 3.6795
angles (deg): 90.00 90.00 90.00
Closest atoms and distances in Å follow each position.
Element x y z (fractional)
Cr: 0.0000 0.0000 0.0000  2 H 1.84
Co: 0.5000 0.5000 0.0000  8 Tc 2.66, 4 Cr 2.71
Tc: 0.0000 0.5000 0.5000  2 H 1.92
Tc: 0.5000 0.0000 0.5000  2 H 1.92
H: 0.0000 0.0000 0.5000  2 Cr 1.84, 4 Tc 1.92


Run ii
CrCoTc2H: optimized geometry, PBE.

a b c (Å): 3.8750 3.8750 3.5565
angles (deg): 90.00 90.00 90.00
Closest atoms and distances in Å follow each position.
Element x y z (fractional)
Cr: 0.0000 0.0000 0.0000  8 Tc 2.63, 4 Co 2.74
Co: 0.5000 0.5000 0.0000  2 H 1.78
Tc: 0.0000 0.5000 0.5000  2 H 1.94
Tc: 0.5000 0.0000 0.5000  2 H 1.94
H: 0.5000 0.5000 0.5000  2 Co 1.78, 4 Tc 1.94


In meV/atom, relative to the most stable structure: run i 30; run ii 0.


Run i
V2CrCoH: optimized geometry, PBE.

a b c (Å): 3.9009 3.9009 3.3587
angles (deg): 90.00 90.00 90.00
Closest atoms and distances in Å follow each position.
Element x y z (fractional)
V: 0.0000 0.5000 0.0000  2 H 1.95
V: 0.5000 0.0000 0.0000  2 H 1.95
Cr: 0.0000 0.0000 0.5000  2 H 1.68
Co: 0.5000 0.5000 0.5000  8 V 2.57, 4 Cr 2.76
H: 0.0000 0.0000 0.0000  2 Cr 1.68


Run ii
V2CrCoH: optimized geometry, PBE.

a b c (Å): 3.9913 3.9913 3.1907
angles (deg): 90.00 90.00 90.00
Closest atoms and distances in Å follow each position.
Element x y z (fractional)
V: 0.0000 0.5000 0.0000  2 H 2.00
V: 0.5000 0.0000 0.0000  2 H 2.00
Cr: 0.0000 0.0000 0.5000  8 V 2.55, 4 Co 2.82
Co: 0.5000 0.5000 0.5000  2 H 1.60
H: 0.5000 0.5000 0.0000  2 Co 1.60


In meV/atom, relative to the most stable structure: run i 63; run ii 0.


Run i
CrCo2HW: optimized geometry, PBE.

a b c (Å): 3.6151 3.6151 3.8120
angles (deg): 90.00 90.00 90.00
Closest atoms and distances in Å follow each position.
Element x y z (fractional)
Cr: 0.0000 0.0000 0.0000  2 H 1.91
Co: 0.0000 0.5000 0.5000  2 H 1.81
Co: 0.5000 0.0000 0.5000  2 H 1.81
H: 0.0000 0.0000 0.5000  4 Co 1.81, 2 Cr 1.91
W: 0.5000 0.5000 0.0000  4 Cr 2.56, 8 Co 2.63


Run ii
CrCo2HW: optimized geometry, PBE.

a b c (Å): 3.5938 3.5938 3.9116
angles (deg): 90.00 90.00 90.00
Closest atoms and distances in Å follow each position.
Element x y z (fractional)
Cr: 0.0000 0.0000 0.0000  4 W 2.54, 8 Co 2.66
Co: 0.0000 0.5000 0.5000  2 H 1.80
Co: 0.5000 0.0000 0.5000  2 H 1.80
H: 0.5000 0.5000 0.5000  4 Co 1.80, 2 W 1.96
W: 0.5000 0.5000 0.0000  2 H 1.96


In meV/atom, relative to the most stable structure: run i 0; run ii 76.